First-principles (PBE) data for a relaxed TaCrOs2 crystal, as listed in Alexandria.

a = 5.114 Å, b = 5.114 Å, c = 5.114 Å
α = 144.80°, β = 129.41°, γ = 63.13°
Atoms (fractional coordinates):
1 Ta 0.000 0.000 0.000
2 Cr 0.234 0.734 0.500
3 Os 0.478 0.478 0.000
4 Os 0.748 0.248 0.500

Summary:
Mass density (g/cm3): 17.30
Energy of formation from the pure elements (meV/atom): 61
Space group: Imm2, No. 44